Compound: CePmO2
Source: Alexandria via LeMat-Bulk
Functional: PBE
Structure: relaxed

Computed properties:
ΔE_f (raw)   -2.65 eV/atom

Cell and atoms, written as POSCAR:
```
CePmO2
1.0
-2.7331 2.1230 0.1172
-1.5321 0.6844 3.0290
2.3369 5.7295 1.8667
Ce Pm O
1 1 2
Direct
0.6713 0.6713 0.9860
0.4957 0.4957 0.5129
0.0847 0.0847 0.7458
0.2482 0.2482 0.2553
```

Compound: Cs3SrAg2Cl6
Source: Alexandria via LeMat-Bulk
Functional: PBE
Structure: relaxed

Computed properties:
ΔE_f (raw)   -1.45 eV/atom

Cell and atoms, written as POSCAR:
```
Cs3SrAg2Cl6
1.0
7.9141 0.0000 0.0000
-3.9570 6.8538 0.0000
0.0000 0.0000 8.8384
Cs Sr Ag Cl
3 1 2 6
Direct
0.3333 0.6667 0.6338
0.6667 0.3333 0.3662
0.0000 0.0000 0.0000
0.0000 0.0000 0.5000
0.6667 0.3333 0.8493
0.3333 0.6667 0.1507
0.6657 0.8328 0.3050
0.1672 0.3343 0.3050
0.1672 0.8328 0.3050
0.8328 0.6657 0.6950
0.3343 0.1672 0.6950
0.8328 0.1672 0.6950
```

Compound: LiSiNi
Source: Alexandria via LeMat-Bulk
Functional: PBE
Structure: relaxed

Computed properties:
ΔE_f (raw)   -0.38 eV/atom

Cell and atoms, written as POSCAR:
```
LiSiNi
1.0
-2.9356 -6.6591 -5.4611
1.3451 -3.2871 3.2851
-3.4453 0.1988 1.6096
Li Si Ni
4 4 4
Direct
0.0000 0.0000 0.0000
0.5000 0.5000 0.0000
0.5000 0.0000 0.5000
0.0000 0.5000 0.5000
0.8039 0.0000 0.5000
0.1961 0.0000 0.5000
0.3039 0.5000 0.5000
0.6961 0.5000 0.5000
0.2500 0.2500 0.0000
0.2500 0.7500 0.0000
0.7500 0.2500 0.0000
0.7500 0.7500 0.0000
```

Compound: Ho5Hg2Pd2
Source: Alexandria via LeMat-Bulk
Functional: PBE
Structure: relaxed

Computed properties:
Energy relative to the elements   -601 meV/atom

Cell and atoms, written as POSCAR:
```
Ho5Hg2Pd2
1.0
-7.1836 2.1217 -0.9528
-1.0297 -0.0807 7.5839
2.7073 7.6332 -3.4135
Ho Hg Pd
10 4 4
Direct
0.0000 0.0000 0.0000
0.5000 0.5000 0.0000
0.8319 0.8014 0.2533
0.1681 0.4519 0.2533
0.3319 0.9519 0.2533
0.6681 0.3014 0.2533
0.1681 0.1986 0.7467
0.8319 0.5481 0.7467
0.6681 0.0481 0.7467
0.3319 0.6986 0.7467
0.0000 0.2136 0.4271
0.5000 0.7136 0.4271
0.0000 0.7864 0.5729
0.5000 0.2864 0.5729
0.6312 0.8699 0.0000
0.3688 0.1301 0.0000
0.1312 0.6301 0.0000
0.8688 0.3699 0.0000
```